No. 1
# ZnCdOs4

Crystalline ZnCdOs4 at its relaxed geometry (PBE-GGA, Alexandria).

Cell lengths 7.368, 7.368, 7.368 Å; angles 90.00, 90.00, 90.00 degrees
Space group F-43m (No. 216)
Symmetry-distinct sites (fractional):
Zn 0.000 0.000 0.000 (multiplicity 4)
Cd 0.250 0.250 0.250 (multiplicity 4)
Os 0.125 0.125 0.625 (multiplicity 16)

=====

No. 2
# ZnCdOs2

Crystalline ZnCdOs2 at its relaxed geometry (PBE-GGA, Alexandria).

Cell lengths 3.824, 3.824, 8.624 Å; angles 90.00, 90.00, 90.00 degrees
Space group I4/mmm (No. 139)
Symmetry-distinct sites (fractional):
Zn 0.000 0.000 0.000 (multiplicity 2)
Cd 0.000 0.000 0.500 (multiplicity 2)
Os 0.000 0.500 0.250 (multiplicity 4)

=====

No. 3
# Zn4CdOs

Crystalline Zn4CdOs at its relaxed geometry (PBE-GGA, Alexandria).

Cell lengths 7.100, 7.100, 7.100 Å; angles 90.00, 90.00, 90.00 degrees
Space group F-43m (No. 216)
Symmetry-distinct sites (fractional):
Zn 0.124 0.124 0.376 (multiplicity 16)
Cd 0.000 0.000 0.000 (multiplicity 4)
Os 0.250 0.250 0.750 (multiplicity 4)

=====

No. 4
# Zn2CdOs

Crystalline Zn2CdOs at its relaxed geometry (PBE-GGA, Alexandria).

Cell lengths 3.326, 4.422, 8.678 Å; angles 90.00, 90.00, 90.00 degrees
Space group Immm (No. 71)
Symmetry-distinct sites (fractional):
Zn 0.000 0.000 0.236 (multiplicity 4)
Cd 0.000 0.500 0.000 (multiplicity 2)
Os 0.000 0.500 0.500 (multiplicity 2)

=====

Number 1: total DFT energy (no corrections) -7.107 eV/atom, density of states at the Fermi level 34.8 states/eV/cell, E_form 0.744 eV/atom. Number 2: total DFT energy (no corrections) -5.465 eV/atom, density of states at the Fermi level 10.1 states/eV/cell, E_form 0.697 eV/atom. Number 3: total DFT energy (no corrections) -2.626 eV/atom, density of states at the Fermi level 10.5 states/eV/cell, E_form 0.247 eV/atom. Number 4: total DFT energy (no corrections) -3.341 eV/atom, density of states at the Fermi level 4.8 states/eV/cell, E_form 0.332 eV/atom.